Below is an optimized crystal structure of V3SiTe, with properties calculated at the PBE level.

## Properties
raw formation energy: 1.39 eV per atom
DOS at the Fermi energy: 7.604 states/eV per cell
relative energy among the computed polymorphs: 804 meV/atom
raw total energy: -0.2130 hartree per atom
crystal system: cubic

Cell and atoms, written as CIF:
```
data_V3SiTe
_symmetry_space_group_name_H-M 'P m -3 m'
_symmetry_Int_Tables_number 221
_symmetry_space_group_name_Hall '-P 4 2 3'
_cell_length_a 4.9848
_cell_length_b 4.9848
_cell_length_c 4.9848
_cell_angle_alpha 90.00
_cell_angle_beta 90.00
_cell_angle_gamma 90.00
loop_
_atom_site_label
_atom_site_type_symbol
_atom_site_fract_x
_atom_site_fract_y
_atom_site_fract_z
_atom_site_occupancy
V1 V 0.0000 0.0000 0.5000 1
Si1 Si 0.5000 0.5000 0.5000 1
Te1 Te 0.0000 0.0000 0.0000 1
```